Record 1
Computed, not measured: an optimized crystal structure of NbRhW at the PBE-GGA level of DFT.

Values from the calculation:
Energy of formation from the pure elements = -0.07 eV per atom
Fermi-level density of states = 1.04 states/eV/atom
Spin magnetization = 0.00 μB/f.u.
SG = No. 12

abc: 5.4271 4.6575 7.8420
angles: 90.00 97.87 90.00
Last column: nearest neighbours and their distance in Å.
Sites, in units of the cell vectors:
Nb1 0.2947 0.0000 0.8143  5 Rh 2.66-2.77, 4 W 2.75-2.89
Nb2 0.7053 0.5000 0.6857  5 Rh 2.66-2.77, 4 W 2.75-2.89
Nb3 0.2947 0.5000 0.3143  5 Rh 2.66-2.77, 4 W 2.75-2.89
Nb4 0.7053 0.0000 0.1857  5 Rh 2.66-2.77, 4 W 2.75-2.89
Rh1 0.7981 0.5000 0.3609  5 Nb 2.66-2.77, 2 W 2.74, 1 Rh 2.87
Rh2 0.7981 0.0000 0.8609  5 Nb 2.66-2.77, 2 W 2.74, 1 Rh 2.87
Rh3 0.2019 0.0000 0.1391  5 Nb 2.66-2.77, 2 W 2.74, 1 Rh 2.87
Rh4 0.2019 0.5000 0.6391  5 Nb 2.66-2.77, 2 W 2.74, 1 Rh 2.87
W1 0.5000 0.0000 0.5000  2 W 2.71, 6 Nb 2.84-2.89
W2 0.5000 0.5000 0.0000  2 W 2.71, 6 Nb 2.84-2.89
W3 0.0000 0.5000 0.0000  2 W 2.71, 4 Rh 2.74, 2 Nb 2.75
W4 0.0000 0.0000 0.5000  2 W 2.71, 4 Rh 2.74, 2 Nb 2.75

***

Record 2
Computed, not measured: an optimized crystal structure of TlAgTe2 at the PBE-GGA level of DFT.

Values from the calculation:
Fermi-level density of states = 0.57 states/eV/atom
Spin magnetization = 0.00 μB/f.u.
SG = No. 156

abc: 4.3953 4.3953 7.7724
angles: 90.00 90.00 120.00
Last column: nearest neighbours and their distance in Å.
Sites, in units of the cell vectors:
Te1 0.3333 0.6667 0.7756  1 Ag 2.73, 3 Tl 3.03
Te2 0.6667 0.3333 0.2659  3 Ag 2.82
Tl1 0.0000 0.0000 0.9888  6 Te 3.03-3.33
Ag1 0.3333 0.6667 0.4246  4 Te 2.73-2.82

***

Record 3
Computed, not measured: an optimized crystal structure of CaCuSb at the PBE-GGA level of DFT.

Values from the calculation:
Fermi-level density of states = 0.06 states/eV/atom
Spin magnetization = 0.00 μB/f.u.
SG = No. 12

abc: 4.5554 4.5539 8.4943
angles: 105.57 89.99 59.97
Last column: nearest neighbours and their distance in Å.
Sites, in units of the cell vectors:
Cu1 0.3619 0.3486 0.1907  3 Sb 2.72, 4 Ca 2.82-2.90
Cu2 0.5943 0.8836 0.4918  3 Sb 2.72, 4 Ca 2.82-2.90
Sb1 0.7243 0.6238 0.1030  3 Cu 2.72
Sb2 0.2316 0.6092 0.5802  3 Cu 2.72
Ca1 0.4781 0.1164 0.8413  2 Cu 2.82
Ca2 0.9780 0.1165 0.3415  6 Cu 2.90

***

Record 4
Computed, not measured: an optimized crystal structure of NaZrCu2S4 at the PBE-GGA level of DFT.

Values from the calculation:
Fermi-level density of states = 1.10 states/eV/atom
Spin magnetization = 0.00 μB/f.u.
SG = No. 121

abc: 5.9012 6.5852 6.5852
angles: 53.22 63.38 63.38
Last column: nearest neighbours and their distance in Å.
Sites, in units of the cell vectors:
Zr1 0.0000 0.0000 0.0000  4 S 2.43
S1 0.6235 0.3763 0.9171  2 Cu 2.34, 1 Zr 2.43
S2 0.9169 0.6237 0.0829  2 Cu 2.34, 1 Zr 2.43
S3 0.3765 0.0829 0.6237  2 Cu 2.34, 1 Zr 2.43
S4 0.0831 0.9171 0.3763  2 Cu 2.34, 1 Zr 2.43
Cu1 0.7504 0.7496 0.7496  4 S 2.34
Cu2 0.2496 0.2504 0.2504  4 S 2.34
Na1 0.5000 0.5000 0.5000  4 S 2.71

***

no.,calculated total energy (eV per atom)
1,-10.19
2,-2.89
3,-3.98
4,-5.09